(1)
# PmNd2Sb

A relaxed PmNd2Sb crystal (PBE, the Alexandria database).

abc: 12.045 12.045 4.642
angles: 90.00 90.00 157.72
Element x y z (fractional)
1 Pm 0.196 0.804 0.750
2 Pm 0.804 0.196 0.250
3 Nd 0.068 0.932 0.250
4 Nd 0.439 0.561 0.250
5 Nd 0.561 0.439 0.750
6 Nd 0.932 0.068 0.750
7 Sb 0.330 0.670 0.750
8 Sb 0.670 0.330 0.250

Summary:
- ΔE to the lowest computed polymorph: 0 meV per atom
- Spin magnetization: 0.000 μB/cell
- Space group: Cmcm
- Formation energy (no corrections): -0.568 eV per atom

=====

(2)
# PmNd2Sb

A relaxed PmNd2Sb crystal (PBE, the Alexandria database).

abc: 5.543 5.543 5.543
angles: 60.00 60.00 60.00
Element x y z (fractional)
1 Pm 0.000 0.000 0.000
2 Nd 0.250 0.250 0.250
3 Nd 0.750 0.750 0.750
4 Sb 0.500 0.500 0.500

Summary:
- ΔE to the lowest computed polymorph: 246 meV per atom
- Spin magnetization: 0.000 μB/cell
- Space group: Fm-3m
- Formation energy (no corrections): -0.322 eV per atom

=====

(3)
# PmNd2Sb

A relaxed PmNd2Sb crystal (PBE, the Alexandria database).

abc: 4.179 4.179 7.195
angles: 90.00 90.00 90.00
Element x y z (fractional)
1 Pm 0.000 0.000 0.000
2 Nd 0.500 0.500 0.281
3 Nd 0.500 0.500 0.719
4 Sb 0.000 0.000 0.500

Summary:
- ΔE to the lowest computed polymorph: 76 meV per atom
- Spin magnetization: 0.457 μB/cell
- Space group: P4/mmm
- Formation energy (no corrections): -0.491 eV per atom

=====

(4)
# Pm2Nd2Sb3

A relaxed Pm2Nd2Sb3 crystal (PBE, the Alexandria database).

abc: 8.209 8.209 8.209
angles: 109.47 109.47 109.47
Element x y z (fractional)
1 Pm 0.000 0.640 0.500
2 Pm 0.500 0.000 0.640
3 Pm 0.640 0.500 0.000
4 Pm 0.860 0.860 0.860
5 Nd 0.000 0.142 0.500
6 Nd 0.142 0.500 0.000
7 Nd 0.358 0.358 0.358
8 Nd 0.500 0.000 0.142
9 Sb 0.123 0.873 0.250
10 Sb 0.250 0.123 0.873
11 Sb 0.377 0.627 0.750
12 Sb 0.627 0.750 0.377
13 Sb 0.750 0.377 0.627
14 Sb 0.873 0.250 0.123

Summary:
- ΔE to the lowest computed polymorph: 0 meV per atom
- Spin magnetization: 0.000 μB/cell
- Space group: I2_13
- Formation energy (no corrections): -1.062 eV per atom

=====

(5)
# Pm4Nd3Sb4

A relaxed Pm4Nd3Sb4 crystal (PBE, the Alexandria database).

abc: 10.298 10.298 10.298
angles: 156.64 126.87 58.80
Element x y z (fractional)
1 Pm 0.007 0.830 0.177
2 Pm 0.347 0.170 0.177
3 Pm 0.653 0.830 0.823
4 Pm 0.993 0.170 0.823
5 Nd 0.000 0.500 0.500
6 Nd 0.403 0.403 0.000
7 Nd 0.597 0.597 0.000
8 Sb 0.269 0.769 0.500
9 Sb 0.286 0.000 0.286
10 Sb 0.714 0.000 0.714
11 Sb 0.731 0.231 0.500

Summary:
- Spin magnetization: 0.003 μB/cell
- Space group: Immm
- Formation energy (no corrections): -0.827 eV per atom

=====

(6)
# PmNd3Sb2

A relaxed PmNd3Sb2 crystal (PBE, the Alexandria database).

abc: 9.116 9.116 9.116
angles: 133.03 71.93 128.88
Element x y z (fractional)
1 Pm 0.000 0.000 0.000
2 Pm 0.500 0.500 0.000
3 Nd 0.042 0.250 0.792
4 Nd 0.250 0.750 0.500
5 Nd 0.458 0.250 0.208
6 Nd 0.542 0.750 0.792
7 Nd 0.750 0.250 0.500
8 Nd 0.958 0.750 0.208
9 Sb 0.146 0.675 0.822
10 Sb 0.354 0.175 0.529
11 Sb 0.646 0.825 0.471
12 Sb 0.854 0.325 0.178

Summary:
- ΔE to the lowest computed polymorph: 200 meV per atom
- Spin magnetization: 0.003 μB/cell
- Space group: Ibam
- Formation energy (no corrections): -0.628 eV per atom

=====

formation energy (no corrections) of number 1 (PmNd2Sb)? -0.568 eV per atom